Record 1
Computed, not measured: crystalline Na8InSn2 at its relaxed geometry at the PBE level of DFT.

Structure (POSCAR):
```
Na8InSn2
1.0
5.917 -1.262 -1.049
-1.534 8.800 0.990
-1.534 2.582 8.471
Na In Sn
8 1 2
Direct
0.695 0.175 0.576 Na
0.305 0.424 0.825 Na
0.712 0.143 0.143 Na
0.288 0.857 0.857 Na
0.695 0.576 0.175 Na
0.305 0.825 0.424 Na
0.199 0.399 0.399 Na
0.801 0.601 0.601 Na
0.000 0.000 0.000 In
0.288 0.209 0.209 Sn
0.712 0.791 0.791 Sn
```

Summary:
Crystal system: monoclinic
DFT formation energy in eV/atom: -0.0471

Record 2
Computed, not measured: crystalline Na2In4Sn5 at its relaxed geometry at the PBE level of DFT.

Structure (POSCAR):
```
Na2In4Sn5
1.0
-2.475 5.540 -0.785
-7.927 -0.820 -0.522
-2.060 -0.319 6.454
Na In Sn
2 4 5
Direct
0.109 0.634 0.295 Na
0.891 0.366 0.705 Na
0.469 0.196 0.598 In
0.531 0.804 0.402 In
0.676 0.445 0.206 In
0.324 0.555 0.794 In
0.737 0.063 0.067 Sn
0.263 0.937 0.933 Sn
0.000 0.000 0.500 Sn
0.229 0.243 0.162 Sn
0.771 0.757 0.838 Sn
```

Summary:
Crystal system: triclinic
DFT formation energy in eV/atom: -0.0565

Record 3
Computed, not measured: crystalline Na3In2Sn4 at its relaxed geometry at the PBE level of DFT.

Structure (POSCAR):
```
Na3In2Sn4
1.0
-5.258 -1.600 -1.076
-1.603 -0.651 -5.612
-0.615 -9.036 -2.179
Na In Sn
3 2 4
Direct
0.747 0.116 0.672 Na
0.000 0.000 0.000 Na
0.253 0.884 0.328 Na
0.569 0.227 0.335 In
0.431 0.773 0.665 In
0.317 0.358 0.006 Sn
0.084 0.456 0.665 Sn
0.916 0.544 0.335 Sn
0.683 0.642 0.994 Sn
```

Summary:
Crystal system: triclinic
DFT formation energy in eV/atom: -0.1098

Repeat the second record exactly.
Computed, not measured: crystalline Na2In4Sn5 at its relaxed geometry at the PBE level of DFT.

Structure (POSCAR):
```
Na2In4Sn5
1.0
-2.475 5.540 -0.785
-7.927 -0.820 -0.522
-2.060 -0.319 6.454
Na In Sn
2 4 5
Direct
0.109 0.634 0.295 Na
0.891 0.366 0.705 Na
0.469 0.196 0.598 In
0.531 0.804 0.402 In
0.676 0.445 0.206 In
0.324 0.555 0.794 In
0.737 0.063 0.067 Sn
0.263 0.937 0.933 Sn
0.000 0.000 0.500 Sn
0.229 0.243 0.162 Sn
0.771 0.757 0.838 Sn
```

Summary:
Crystal system: triclinic
DFT formation energy in eV/atom: -0.0565

Copy entry 1 word for word.
Computed, not measured: crystalline Na8InSn2 at its relaxed geometry at the PBE level of DFT.

Structure (POSCAR):
```
Na8InSn2
1.0
5.917 -1.262 -1.049
-1.534 8.800 0.990
-1.534 2.582 8.471
Na In Sn
8 1 2
Direct
0.695 0.175 0.576 Na
0.305 0.424 0.825 Na
0.712 0.143 0.143 Na
0.288 0.857 0.857 Na
0.695 0.576 0.175 Na
0.305 0.825 0.424 Na
0.199 0.399 0.399 Na
0.801 0.601 0.601 Na
0.000 0.000 0.000 In
0.288 0.209 0.209 Sn
0.712 0.791 0.791 Sn
```

Summary:
Crystal system: monoclinic
DFT formation energy in eV/atom: -0.0471